# 1
# TmSbCl PBE-GGA optimized geometry
data_TmSbCl
_chemical_formula_sum 'Tm1 Sb1 Cl1'
_cell_length_a 4.8589
_cell_length_b 4.8589
_cell_length_c 3.5702
_cell_angle_alpha 90.00
_cell_angle_beta 90.00
_cell_angle_gamma 120.00
_symmetry_space_group_name_H-M 'P -6 m 2'
_symmetry_Int_Tables_number 187
_symmetry_space_group_name_Hall 'P -6 2'
loop_
_atom_site_label
_atom_site_type_symbol
_atom_site_fract_x
_atom_site_fract_y
_atom_site_fract_z
Tm1 Tm 0.0000 0.0000 0.0000
Sb1 Sb 0.6667 0.3333 0.5000
Cl1 Cl 0.3333 0.6667 0.0000
# Crystal system: hexagonal
# Volume, Å³ per cell: 73.0
# Excess energy over the best structure of this formula in the dataset, meV per atom: 233
# Formation energy without anion corrections, eV/f.u.: -3.082
# Electronic total energy, eV for the cell shown: -13.52


# 2
# PuPdBr2 PBE-GGA optimized geometry
data_PuPdBr2
_chemical_formula_sum 'Pu3 Pd3 Br6'
_cell_length_a 3.8378
_cell_length_b 3.8378
_cell_length_c 26.6943
_cell_angle_alpha 90.00
_cell_angle_beta 90.00
_cell_angle_gamma 120.00
_symmetry_space_group_name_H-M 'R -3 m'
_symmetry_Int_Tables_number 166
_symmetry_space_group_name_Hall '-R 3 2"'
loop_
_atom_site_label
_atom_site_type_symbol
_atom_site_fract_x
_atom_site_fract_y
_atom_site_fract_z
Pu1 Pu 0.0000 0.0000 0.0000
Pd1 Pd 0.0000 0.0000 0.5000
Br1 Br 0.0000 0.0000 0.1049
# Crystal system: trigonal
# Volume, Å³ per cell: 340.5
# Formation energy without anion corrections, eV/f.u.: -0.745
# Electronic total energy, eV for the cell shown: -70.85


# 3
# RbTi2FeTe PBE-GGA optimized geometry
data_RbTi2FeTe
_chemical_formula_sum 'Rb1 Ti2 Fe1 Te1'
_cell_length_a 4.719
_cell_length_b 4.719
_cell_length_c 5.582
_cell_angle_alpha 90.00
_cell_angle_beta 90.00
_cell_angle_gamma 90.00
_symmetry_space_group_name_H-M 'P 4/m m m'
_symmetry_Int_Tables_number 123
_symmetry_space_group_name_Hall '-P 4 2'
loop_
_atom_site_label
_atom_site_type_symbol
_atom_site_fract_x
_atom_site_fract_y
_atom_site_fract_z
Rb1 Rb 0.000 0.000 0.000
Ti1 Ti 0.000 0.500 0.500
Fe1 Fe 0.500 0.500 0.500
Te1 Te 0.500 0.500 0.000
# Crystal system: tetragonal
# Volume, Å³ per cell: 124.3
# Formation energy without anion corrections, eV/f.u.: 2.545
# Electronic total energy, eV for the cell shown: -25.82


# 4
# Na3ThPb2S6 PBE-GGA optimized geometry
data_Na3ThPb2S6
_chemical_formula_sum 'Na6 Th2 Pb4 S12'
_cell_length_a 7.177
_cell_length_b 12.416
_cell_length_c 7.154
_cell_angle_alpha 90.00
_cell_angle_beta 109.61
_cell_angle_gamma 90.00
_symmetry_space_group_name_H-M 'C 1 2/m 1'
_symmetry_Int_Tables_number 12
loop_
_symmetry_equiv_pos_as_xyz
'x,y,z'
'-x,-y,-z'
'-x,y,-z'
'x,-y,z'
'x+1/2,y+1/2,z'
'-x+1/2,-y+1/2,-z'
'-x+1/2,y+1/2,-z'
'x+1/2,-y+1/2,z'
loop_
_atom_site_label
_atom_site_type_symbol
_atom_site_fract_x
_atom_site_fract_y
_atom_site_fract_z
Na1 Na 0.000 0.000 0.000
Na2 Na 0.000 0.327 0.000
Th1 Th 0.000 0.500 0.500
Pb1 Pb 0.000 0.166 0.500
S1 S 0.239 0.340 0.739
S2 S 0.240 0.500 0.262
# Crystal system: monoclinic
# Volume, Å³ per cell: 600.5
# Formation energy without anion corrections, eV/f.u.: -13.377
# Electronic total energy, eV for the cell shown: -113.87


# 5
# BaCa2In2 PBE-GGA optimized geometry
data_BaCa2In2
_chemical_formula_sum 'Ba2 Ca4 In4'
_cell_length_a 5.186
_cell_length_b 5.186
_cell_length_c 14.047
_cell_angle_alpha 90.00
_cell_angle_beta 90.00
_cell_angle_gamma 90.00
_symmetry_space_group_name_H-M 'I 4/m m m'
_symmetry_Int_Tables_number 139
_symmetry_space_group_name_Hall '-I 4 2'
loop_
_atom_site_label
_atom_site_type_symbol
_atom_site_fract_x
_atom_site_fract_y
_atom_site_fract_z
Ba1 Ba 0.000 0.000 0.000
Ca1 Ca 0.000 0.500 0.250
In1 In 0.000 0.000 0.398
# Crystal system: tetragonal
# Volume, Å³ per cell: 377.8
# Excess energy over the best structure of this formula in the dataset, meV per atom: 45
# E_form, eV/atom: -0.33
# Electronic total energy, eV for the cell shown: -26.07


# 6
# Mg2ZrCl2 PBE-GGA optimized geometry
data_Mg2ZrCl2
_chemical_formula_sum 'Mg4 Zr2 Cl4'
_cell_length_a 8.573
_cell_length_b 8.573
_cell_length_c 3.204
_cell_angle_alpha 90.00
_cell_angle_beta 90.00
_cell_angle_gamma 90.00
_symmetry_space_group_name_H-M 'P 4/m b m'
_symmetry_Int_Tables_number 127
_symmetry_space_group_name_Hall '-P 4 2ab'
loop_
_atom_site_label
_atom_site_type_symbol
_atom_site_fract_x
_atom_site_fract_y
_atom_site_fract_z
Mg1 Mg 0.142 0.358 0.000
Zr1 Zr 0.000 0.000 0.000
Cl1 Cl 0.128 0.628 0.500
# Crystal system: tetragonal
# Volume, Å³ per cell: 235.5
# Excess energy over the best structure of this formula in the dataset, meV per atom: 181
# Formation energy without anion corrections, eV/f.u.: -0.163
# Electronic total energy, eV for the cell shown: -31.19


no.,total moment (Bohr magnetons per cell)
1,0.0
2,16.6
3,1.2
4,0.0
5,0.0
6,2.6